Density functional theory data (GGA-PBE) for crystalline K2LiTcCl6 at its relaxed geometry.

Values from the calculation:
Its energy above the most stable polymorph in this dataset is 0.0 meV/atom. The symmetry is I4/m (87). The total DFT energy (no corrections) comes out at -3.9218 eV/atom. As for the crystal system: tetragonal. The value obtained for the total magnetic moment is 2.0 μB per formula unit.

a b c (Å): 6.956 6.956 6.956
angles (deg): 120.18 120.18 89.68
Fractional coordinates of all 10 atoms:
K  0.250  0.750  0.500
K  0.750  0.250  0.500
Li  0.000  0.000  0.000
Tc  0.500  0.500  0.000
Cl  0.240  0.728  0.968
Cl  0.257  0.257  0.000
Cl  0.272  0.240  0.512
Cl  0.728  0.760  0.488
Cl  0.743  0.743  0.000
Cl  0.760  0.272  0.032